The following is a GGA-PBEsol calculation of a relaxed LiAl2Tc crystal, from Alexandria via LeMat-Bulk.

POSCAR file:
```
LiAl2Tc
1.0
3.144 0.000 0.000
0.000 3.144 0.000
0.000 0.000 5.786
Li Al Tc
1 2 1
Direct
0.000 0.000 0.000 Li
0.500 0.500 0.268 Al
0.500 0.500 0.732 Al
0.000 0.000 0.500 Tc
```

The calculation puts the energy at -22.5 eV/cell. The formation enthalpy at 0 K is -0.28 eV per atom. Its energy above the lowest structure with this stoichiometry is 0.01 eV per formula unit. The space-group type is P4/mmm.

The following is a GGA-PBEsol calculation of a relaxed InCo3Ir crystal, from Alexandria via LeMat-Bulk.

POSCAR file:
```
InCo3Ir
1.0
4.446 0.000 0.000
0.000 4.446 0.000
0.000 0.000 4.446
In Co Ir
1 3 1
Direct
0.000 0.000 0.000 In
0.000 0.000 0.500 Co
0.000 0.500 0.000 Co
0.500 0.000 0.000 Co
0.500 0.500 0.500 Ir
```

The calculation puts the energy at -25.4 eV/cell. The formation enthalpy at 0 K is 2.13 eV per atom. The space-group type is Pm-3m.

The following is a GGA-PBEsol calculation of a relaxed Ba2MgCrAu crystal, from Alexandria via LeMat-Bulk.

POSCAR file:
```
Ba2MgCrAu
1.0
6.176 0.000 0.000
0.000 6.176 0.000
0.000 0.000 5.132
Ba Mg Cr Au
2 1 1 1
Direct
0.000 0.500 0.000 Ba
0.500 0.000 0.000 Ba
0.000 0.000 0.500 Mg
0.500 0.500 0.500 Cr
0.000 0.000 0.000 Au
```

The calculation puts the energy at -18.7 eV/cell. The formation enthalpy at 0 K is 0.30 eV per atom. The space-group type is P4/mmm.

The following is a GGA-PBEsol calculation of a relaxed NiMoP2 crystal, from Alexandria via LeMat-Bulk.

POSCAR file:
```
NiMoP2
1.0
3.311 0.000 0.000
-1.655 2.867 0.000
0.000 0.000 11.041
Ni Mo P
2 2 4
Direct
0.000 0.000 0.000 Ni
0.000 0.000 0.500 Ni
0.000 0.000 0.250 Mo
0.000 0.000 0.750 Mo
0.333 0.667 0.111 P
0.333 0.667 0.389 P
0.667 0.333 0.611 P
0.667 0.333 0.889 P
```

The calculation puts the energy at -64.3 eV/cell. The formation enthalpy at 0 K is -0.66 eV per atom. The space-group type is P6_3/mmc.

The following is a GGA-PBEsol calculation of a relaxed CdInSi2 crystal, from Alexandria via LeMat-Bulk.

POSCAR file:
```
CdInSi2
1.0
2.849 0.000 0.000
0.000 5.104 0.000
0.000 0.000 10.653
Cd In Si
2 2 4
Direct
0.000 0.000 0.000 Cd
0.500 0.500 0.500 Cd
0.000 0.000 0.500 In
0.500 0.500 0.000 In
0.000 0.500 0.252 Si
0.000 0.500 0.748 Si
0.500 0.000 0.248 Si
0.500 0.000 0.752 Si
```

The calculation puts the energy at -27.9 eV/cell. The space-group type is Immm. The formation energy (no corrections) is 0.43 eV per atom.

The following is a GGA-PBEsol calculation of a relaxed LaCd2Br crystal, from Alexandria via LeMat-Bulk.

POSCAR file:
```
LaCd2Br
1.0
3.957 0.000 0.000
0.000 5.722 0.000
0.000 0.000 9.499
La Cd Br
2 4 2
Direct
0.000 0.000 0.000 La
0.500 0.500 0.000 La
0.000 0.500 0.273 Cd
0.000 0.500 0.727 Cd
0.500 0.000 0.273 Cd
0.500 0.000 0.727 Cd
0.000 0.000 0.500 Br
0.500 0.500 0.500 Br
```

The calculation puts the energy at -21.6 eV/cell. Its energy above the lowest structure with this stoichiometry is 0.78 eV per formula unit. The space-group type is Cmmm. The formation energy (no corrections) is -0.30 eV per atom.

The following is a GGA-PBEsol calculation of a relaxed TaReTc2 crystal, from Alexandria via LeMat-Bulk.

POSCAR file:
```
TaReTc2
1.0
2.738 0.000 0.000
0.000 4.307 0.000
-1.003 0.000 5.092
Ta Re Tc
1 1 2
Direct
0.000 0.000 0.000 Ta
0.500 0.000 0.500 Re
0.211 0.500 0.749 Tc
0.789 0.500 0.251 Tc
```

The calculation puts the energy at -48.4 eV/cell. The formation enthalpy at 0 K is 0.00 eV per atom. Its energy above the lowest structure with this stoichiometry is 0.22 eV per formula unit. The space-group type is P2/m.

The following is a GGA-PBEsol calculation of a relaxed Ca2ZrTe crystal, from Alexandria via LeMat-Bulk.

POSCAR file:
```
Ca2ZrTe
1.0
3.728 0.000 0.000
0.000 5.406 0.000
0.000 0.000 11.333
Ca Zr Te
4 2 2
Direct
0.000 0.000 0.000 Ca
0.000 0.500 0.206 Ca
0.500 0.000 0.706 Ca
0.500 0.500 0.500 Ca
0.000 0.000 0.425 Zr
0.500 0.500 0.925 Zr
0.000 0.500 0.730 Te
0.500 0.000 0.230 Te
```

The calculation puts the energy at -36.4 eV/cell. The space-group type is Imm2. The formation energy (no corrections) is -0.32 eV per atom.